Record 1
A plane-wave DFT calculation with PBE was carried out for a relaxed LiTb2PuHg4 crystal.

Summary:
- Symmetry: R-3m
- DFT total energy: -29.48 eV per cell
- Energy of formation: -0.3452 eV per atom

Unit cell a=5.1863 b=5.1863 c=9.0465 alpha=73.34 beta=73.34 gamma=60.00
Each line ends with the local moment (μB).
Element x y z (fractional)
1 Tb 0.7523 0.7523 0.7432  0.10
2 Tb 0.2477 0.2477 0.2568  0.10
3 Li 0.5000 0.5000 0.5000  -0.01
4 Hg 0.6193 0.6193 0.1420  0.03
5 Hg 0.3807 0.3807 0.8580  0.03
6 Hg 0.1271 0.1271 0.6187  0.00
7 Hg 0.8729 0.8729 0.3813  0.00
8 Pu 0.0000 0.0000 0.0000  5.47



Record 2
A plane-wave DFT calculation with PBE was carried out for a relaxed CsNaPuO3 crystal.

Summary:
- Symmetry: P2_1/m
- DFT total energy: -88.99 eV per cell
- Formation energy from raw total energies: -13.1 eV per formula unit

Unit cell a=3.6245 b=9.7826 c=7.3395 alpha=110.13 beta=90.00 gamma=90.00
Each line ends with the local moment (μB).
Element x y z (fractional)
1 Pu 0.7500 0.3378 0.8777  4.24
2 Pu 0.2500 0.6622 0.1223  4.24
3 O 0.2500 0.4770 0.8294  -0.13
4 O 0.7500 0.5230 0.1706  -0.13
5 O 0.7500 0.7668 0.0480  -0.10
6 O 0.2500 0.8223 0.4088  -0.07
7 O 0.7500 0.1777 0.5912  -0.07
8 O 0.2500 0.2332 0.9520  -0.10
9 Na 0.2500 0.0502 0.6610  0.00
10 Na 0.7500 0.9498 0.3390  0.00
11 Cs 0.7500 0.6914 0.6332  0.00
12 Cs 0.2500 0.3086 0.3668  0.00



Record 3
A plane-wave DFT calculation with PBE was carried out for a relaxed Mg4Cd3Ag2 crystal.

Summary:
- Symmetry: P-1
- DFT total energy: -16.00 eV per cell
- Energy of formation: -0.1309 eV per atom

Unit cell a=4.8126 b=4.8401 c=8.9463 alpha=89.75 beta=90.11 gamma=60.07
Element x y z (fractional)
1 Mg 0.3338 0.3334 0.1133
2 Mg 0.9992 0.0007 0.6785
3 Mg 0.6662 0.6666 0.8867
4 Mg 0.0008 0.9993 0.3215
5 Ag 0.3322 0.3341 0.7866
6 Ag 0.6678 0.6659 0.2134
7 Cd 0.6662 0.6672 0.5485
8 Cd 0.3338 0.3328 0.4515
9 Cd 0.0000 0.0000 0.0000



- Among the records above, which one has the lowest DFT total energy?
  CsNaPuO3